A plane-wave DFT calculation with GGA-PBE was carried out for CsPdSeBr2 after structural relaxation.

Output
As for the total magnetization: 0.0 Bohr magnetons per cell. As for the space group: No. 123. The crystal system is tetragonal. The raw formation energy comes out at -0.54 eV/atom. The excess energy over the best structure of this formula in the dataset is 0.58 eV/f.u.

Structure (POSCAR):
```
CsPdSeBr2
1.0
5.8902 0.0000 0.0000
0.0000 5.8902 0.0000
0.0000 0.0000 4.7282
Cs Pd Se Br
1 1 1 2
Cartesian
0.0000 0.0000 0.0000
2.9451 2.9451 0.0000
2.9451 2.9451 2.3641
0.0000 2.9451 2.3641
2.9451 0.0000 2.3641
```